A plane-wave DFT calculation with PBE-GGA was carried out for an optimized crystal structure of Cd4In3Pb4.

Structure (POSCAR):
```
Cd4In3Pb4
1.0
-1.501 1.902 -2.163
-4.406 -3.105 0.547
-3.020 10.834 13.650
Cd In Pb
4 3 4
Direct
0.077 0.547 0.089
0.923 0.453 0.911
0.779 0.817 0.639
0.221 0.183 0.361
0.145 0.638 0.270
0.855 0.362 0.730
0.000 0.000 0.000
0.591 0.096 0.178
0.258 0.274 0.552
0.742 0.726 0.448
0.409 0.904 0.822
```

space group	P-1
energy of formation from the pure elements	49.1	meV per atom
size of the total moment	0.000	μB/cell